(1)
SrLi2PdPb after structural relaxation, computed with GGA-PBE.

Geometry as CIF:
```
data_SrLi2PdPb
_cell_length_a 4.991
_cell_length_b 4.991
_cell_length_c 5.270
_cell_angle_alpha 90.00
_cell_angle_beta 90.00
_cell_angle_gamma 90.00
_symmetry_space_group_name_H-M 'P 4/m m m'
_symmetry_Int_Tables_number 123
_symmetry_space_group_name_Hall '-P 4 2'
loop_
_atom_site_label
_atom_site_type_symbol
_atom_site_fract_x
_atom_site_fract_y
_atom_site_fract_z
Sr1 Sr 0.000 0.000 0.000
Li1 Li 0.000 0.500 0.500
Pd1 Pd 0.500 0.500 0.500
Pb1 Pb 0.500 0.500 0.000
```

Output
DOS at the Fermi energy ... 2.183 states/eV per cell
E above lowest polymorph ... 0.0 kJ/mol of atoms
Magnetization ... 0.0 μB per formula unit
Formation energy ... -0.30 eV/atom

=====

(2)
SrLiPd4Pb2 after structural relaxation, computed with GGA-PBE.

Geometry as CIF:
```
data_SrLiPd4Pb2
_cell_length_a 4.6730
_cell_length_b 4.6730
_cell_length_c 26.3320
_cell_angle_alpha 90.00
_cell_angle_beta 90.00
_cell_angle_gamma 120.00
_symmetry_space_group_name_H-M 'R -3 m'
_symmetry_Int_Tables_number 166
_symmetry_space_group_name_Hall '-R 3 2"'
loop_
_atom_site_label
_atom_site_type_symbol
_atom_site_fract_x
_atom_site_fract_y
_atom_site_fract_z
Sr1 Sr 0.0000 0.0000 0.0000
Li1 Li 0.0000 0.0000 0.5000
Pd1 Pd 0.0000 0.0000 0.1303
Pd2 Pd 0.0000 0.0000 0.4044
Pb1 Pb 0.0000 0.0000 0.2383
```

Output
DOS at the Fermi energy ... 14.462 states/eV per cell
Magnetization ... 0.0 μB per formula unit
Formation energy ... -0.45 eV/atom

=====

(3)
Sr2LiPd4Pb3 after structural relaxation, computed with GGA-PBE.

Geometry as CIF:
```
data_Sr2LiPd4Pb3
_cell_length_a 4.571
_cell_length_b 4.571
_cell_length_c 11.656
_cell_angle_alpha 90.00
_cell_angle_beta 90.00
_cell_angle_gamma 90.00
_symmetry_space_group_name_H-M 'P -4 m 2'
_symmetry_Int_Tables_number 115
loop_
_symmetry_equiv_pos_as_xyz
'x,y,z'
'y,-x,-z'
'-x,-y,z'
'-y,x,-z'
'-x,y,z'
'-y,-x,-z'
'x,-y,z'
'y,x,-z'
loop_
_atom_site_label
_atom_site_type_symbol
_atom_site_fract_x
_atom_site_fract_y
_atom_site_fract_z
Sr1 Sr 0.000 0.500 0.247
Li1 Li 0.500 0.500 0.000
Pd1 Pd 0.000 0.000 0.500
Pd2 Pd 0.000 0.500 0.866
Pd3 Pd 0.500 0.500 0.500
Pb1 Pb 0.000 0.000 0.000
Pb2 Pb 0.000 0.500 0.631
```

Output
DOS at the Fermi energy ... 6.039 states/eV per cell
Magnetization ... 0.0 μB per formula unit
Formation energy ... -0.49 eV/atom

=====

(4)
Sr2Li2Pd5Pb after structural relaxation, computed with GGA-PBE.

Geometry as CIF:
```
data_Sr2Li2Pd5Pb
_cell_length_a 9.870
_cell_length_b 9.870
_cell_length_c 3.940
_cell_angle_alpha 90.00
_cell_angle_beta 90.00
_cell_angle_gamma 90.00
_symmetry_space_group_name_H-M 'P 4/m b m'
_symmetry_Int_Tables_number 127
_symmetry_space_group_name_Hall '-P 4 2ab'
loop_
_atom_site_label
_atom_site_type_symbol
_atom_site_fract_x
_atom_site_fract_y
_atom_site_fract_z
Sr1 Sr 0.181 0.319 0.000
Li1 Li 0.117 0.617 0.000
Pd1 Pd 0.000 0.500 0.500
Pd2 Pd 0.064 0.783 0.500
Pb1 Pb 0.000 0.000 0.000
```

Output
DOS at the Fermi energy ... 8.452 states/eV per cell
Magnetization ... 0.0 μB per formula unit
Formation energy ... -0.50 eV/atom

=====

(5)
Sr2LiPdPb after structural relaxation, computed with GGA-PBE.

Geometry as CIF:
```
data_Sr2LiPdPb
_cell_length_a 5.949
_cell_length_b 5.949
_cell_length_c 4.633
_cell_angle_alpha 90.00
_cell_angle_beta 90.00
_cell_angle_gamma 90.00
_symmetry_space_group_name_H-M 'P 4/m m m'
_symmetry_Int_Tables_number 123
_symmetry_space_group_name_Hall '-P 4 2'
loop_
_atom_site_label
_atom_site_type_symbol
_atom_site_fract_x
_atom_site_fract_y
_atom_site_fract_z
Sr1 Sr 0.000 0.500 0.000
Li1 Li 0.000 0.000 0.500
Pd1 Pd 0.000 0.000 0.000
Pb1 Pb 0.500 0.500 0.500
```

Output
DOS at the Fermi energy ... 2.912 states/eV per cell
Magnetization ... 0.0 μB per formula unit
Formation energy ... -0.33 eV/atom

=====

(6)
SrLi2PdPb after structural relaxation, computed with GGA-PBE.

Geometry as CIF:
```
data_SrLi2PdPb
_cell_length_a 4.971
_cell_length_b 4.971
_cell_length_c 5.726
_cell_angle_alpha 90.00
_cell_angle_beta 90.00
_cell_angle_gamma 90.00
_symmetry_space_group_name_H-M 'P 4/m m m'
_symmetry_Int_Tables_number 123
_symmetry_space_group_name_Hall '-P 4 2'
loop_
_atom_site_label
_atom_site_type_symbol
_atom_site_fract_x
_atom_site_fract_y
_atom_site_fract_z
Sr1 Sr 0.000 0.000 0.000
Li1 Li 0.000 0.500 0.500
Pd1 Pd 0.000 0.000 0.500
Pb1 Pb 0.500 0.500 0.000
```

Output
DOS at the Fermi energy ... 3.623 states/eV per cell
E above lowest polymorph ... 15.9 kJ/mol of atoms
Magnetization ... 0.0 μB per formula unit
Formation energy ... -0.13 eV/atom

=====

(7)
Li2TaPdPb after structural relaxation, computed with GGA-PBE.

Geometry as CIF:
```
data_Li2TaPdPb
_cell_length_a 4.929
_cell_length_b 4.929
_cell_length_c 5.494
_cell_angle_alpha 90.00
_cell_angle_beta 90.00
_cell_angle_gamma 90.00
_symmetry_space_group_name_H-M 'P 4/m m m'
_symmetry_Int_Tables_number 123
_symmetry_space_group_name_Hall '-P 4 2'
loop_
_atom_site_label
_atom_site_type_symbol
_atom_site_fract_x
_atom_site_fract_y
_atom_site_fract_z
Li1 Li 0.000 0.500 0.000
Ta1 Ta 0.000 0.000 0.000
Pd1 Pd 0.500 0.500 0.500
Pb1 Pb 0.000 0.000 0.500
```

Output
DOS at the Fermi energy ... 4.342 states/eV per cell
Magnetization ... 2.4 μB per formula unit
Formation energy ... 1.33 eV/atom

=====

(8)
LiTcPd2Pb after structural relaxation, computed with GGA-PBE.

Geometry as CIF:
```
data_LiTcPd2Pb
_cell_length_a 5.041
_cell_length_b 5.041
_cell_length_c 4.712
_cell_angle_alpha 90.00
_cell_angle_beta 90.00
_cell_angle_gamma 90.00
_symmetry_space_group_name_H-M 'P 4/m m m'
_symmetry_Int_Tables_number 123
_symmetry_space_group_name_Hall '-P 4 2'
loop_
_atom_site_label
_atom_site_type_symbol
_atom_site_fract_x
_atom_site_fract_y
_atom_site_fract_z
Li1 Li 0.000 0.000 0.000
Tc1 Tc 0.500 0.500 0.000
Pd1 Pd 0.000 0.500 0.500
Pb1 Pb 0.000 0.000 0.500
```

Output
DOS at the Fermi energy ... 3.289 states/eV per cell
E above lowest polymorph ... 5.3 kJ/mol of atoms
Magnetization ... 4.1 μB per formula unit
Formation energy ... 1.14 eV/atom

=====

(9)
LiTcPd2Pb after structural relaxation, computed with GGA-PBE.

Geometry as CIF:
```
data_LiTcPd2Pb
_cell_length_a 5.125
_cell_length_b 5.125
_cell_length_c 5.193
_cell_angle_alpha 90.00
_cell_angle_beta 90.00
_cell_angle_gamma 90.00
_symmetry_space_group_name_H-M 'P 4/m m m'
_symmetry_Int_Tables_number 123
_symmetry_space_group_name_Hall '-P 4 2'
loop_
_atom_site_label
_atom_site_type_symbol
_atom_site_fract_x
_atom_site_fract_y
_atom_site_fract_z
Li1 Li 0.000 0.000 0.000
Tc1 Tc 0.500 0.500 0.000
Pd1 Pd 0.000 0.500 0.500
Pb1 Pb 0.500 0.500 0.500
```

Output
DOS at the Fermi energy ... 4.359 states/eV per cell
E above lowest polymorph ... 0.0 kJ/mol of atoms
Magnetization ... 2.8 μB per formula unit
Formation energy ... 1.09 eV/atom

=====

(10)
LiThPdPb after structural relaxation, computed with GGA-PBE.

Geometry as CIF:
```
data_LiThPdPb
_cell_length_a 7.033
_cell_length_b 7.033
_cell_length_c 7.033
_cell_angle_alpha 90.00
_cell_angle_beta 90.00
_cell_angle_gamma 90.00
_symmetry_space_group_name_H-M 'F -4 3 m'
_symmetry_Int_Tables_number 216
_symmetry_space_group_name_Hall 'F -4 2 3'
loop_
_atom_site_label
_atom_site_type_symbol
_atom_site_fract_x
_atom_site_fract_y
_atom_site_fract_z
Li1 Li 0.000 0.000 0.000
Th1 Th 0.250 0.250 0.250
Pd1 Pd 0.000 0.000 0.500
Pb1 Pb 0.250 0.250 0.750
```

Output
DOS at the Fermi energy ... 10.229 states/eV per cell
Magnetization ... 0.0 μB per formula unit
Formation energy ... -0.44 eV/atom

=====

(11)
Li2TlPdPb after structural relaxation, computed with GGA-PBE.

Geometry as CIF:
```
data_Li2TlPdPb
_cell_length_a 5.575
_cell_length_b 5.539
_cell_length_c 7.041
_cell_angle_alpha 90.00
_cell_angle_beta 90.00
_cell_angle_gamma 90.00
_symmetry_space_group_name_H-M 'P m m a'
_symmetry_Int_Tables_number 51
loop_
_symmetry_equiv_pos_as_xyz
'x,y,z'
'-x,-y,-z'
'-x+1/2,-y,z'
'x+1/2,y,-z'
'x+1/2,-y,-z'
'-x+1/2,y,z'
'-x,y,-z'
'x,-y,z'
loop_
_atom_site_label
_atom_site_type_symbol
_atom_site_fract_x
_atom_site_fract_y
_atom_site_fract_z
Li1 Li 0.250 0.245 0.235
Tl1 Tl 0.250 0.000 0.868
Pd1 Pd 0.000 0.000 0.500
Pb1 Pb 0.250 0.500 0.624
```

Output
DOS at the Fermi energy ... 5.550 states/eV per cell
Magnetization ... 0.0 μB per formula unit
Formation energy ... -0.19 eV/atom

=====

(12)
Li2TlPd4Pb2 after structural relaxation, computed with GGA-PBE.

Geometry as CIF:
```
data_Li2TlPd4Pb2
_cell_length_a 6.592
_cell_length_b 6.592
_cell_length_c 8.128
_cell_angle_alpha 90.00
_cell_angle_beta 90.00
_cell_angle_gamma 90.00
_symmetry_space_group_name_H-M 'I 4/m m m'
_symmetry_Int_Tables_number 139
_symmetry_space_group_name_Hall '-I 4 2'
loop_
_atom_site_label
_atom_site_type_symbol
_atom_site_fract_x
_atom_site_fract_y
_atom_site_fract_z
Li1 Li 0.000 0.000 0.185
Tl1 Tl 0.000 0.000 0.500
Pd1 Pd 0.216 0.216 0.000
Pb1 Pb 0.000 0.500 0.250
```

Output
DOS at the Fermi energy ... 9.109 states/eV per cell
Magnetization ... 0.0 μB per formula unit
Formation energy ... -0.15 eV/atom

=====

(13)
LiTmPdPb after structural relaxation, computed with GGA-PBE.

Geometry as CIF:
```
data_LiTmPdPb
_cell_length_a 6.782
_cell_length_b 6.782
_cell_length_c 6.782
_cell_angle_alpha 90.00
_cell_angle_beta 90.00
_cell_angle_gamma 90.00
_symmetry_space_group_name_H-M 'F -4 3 m'
_symmetry_Int_Tables_number 216
_symmetry_space_group_name_Hall 'F -4 2 3'
loop_
_atom_site_label
_atom_site_type_symbol
_atom_site_fract_x
_atom_site_fract_y
_atom_site_fract_z
Li1 Li 0.000 0.000 0.000
Tm1 Tm 0.250 0.250 0.250
Pd1 Pd 0.000 0.000 0.500
Pb1 Pb 0.250 0.250 0.750
```

Output
DOS at the Fermi energy ... 1.096 states/eV per cell
Magnetization ... 0.0 μB per formula unit
Formation energy ... -0.62 eV/atom